Record 1
Below is La2Ho7Er after structural relaxation, with properties calculated at the PBE level.

Output
- total DFT energy (no corrections) (eV/cell) = -46.20
- N(E_F) (states/eV per atom) = 1.375
- space-group type = P-1 (2)
- energy relative to the elements (eV/atom) = 0.03

abc: 6.1621 6.1790 9.4487
angles: 109.01 102.39 99.77
Positions (direct):
La (0.0998, 0.1995, 0.2021)
La (0.9002, 0.8005, 0.7979)
Ho (0.2015, 0.4014, 0.8995)
Ho (0.2999, 0.5984, 0.5988)
Ho (0.4029, 0.8016, 0.3013)
Ho (0.5000, 0.0000, 0.0000)
Ho (0.5971, 0.1984, 0.6987)
Ho (0.7001, 0.4016, 0.4012)
Ho (0.7985, 0.5986, 0.1005)
Er (0.0000, 0.0000, 0.5000)

=====

Record 2
Below is La3Ho3Er5 after structural relaxation, with properties calculated at the PBE level.

Output
- total DFT energy (no corrections) (eV/cell) = -42.56
- N(E_F) (states/eV per atom) = 1.187
- space-group type = P-62m (189)
- energy relative to the elements (eV/atom) = 0.80

abc: 9.6628 9.6628 5.3241
angles: 90.00 90.00 120.00
Positions (direct):
La (0.0000, 0.3592, 0.0000)
La (0.3592, 0.0000, 0.0000)
La (0.6408, 0.6408, 0.0000)
Ho (0.0000, 0.5211, 0.5000)
Ho (0.4789, 0.4789, 0.5000)
Ho (0.5211, 0.0000, 0.5000)
Er (0.0000, 0.7228, 0.0000)
Er (0.2772, 0.2772, 0.0000)
Er (0.3333, 0.6667, 0.0000)
Er (0.6667, 0.3333, 0.0000)
Er (0.7228, 0.0000, 0.0000)